A plane-wave DFT calculation with PBE-GGA was carried out for an optimized crystal structure of KLaIrCl2.

Summary:
E ... -18.76 eV/f.u.
Uncorrected formation energy ... -0.036 eV/atom

a b c (Å): 5.1786 5.1786 5.6675
angles (deg): 90.00 90.00 90.00
Last column: nearest neighbours and their distance in Å.
Fractional coordinates of all 5 atoms:
K (0.0000, 0.0000, 0.0000)  4 Cl 2.59, 2 Ir 2.83
La (0.5000, 0.5000, 0.5000)  4 Ir 3.66, 8 Cl 3.84
Ir (0.0000, 0.0000, 0.5000)  2 K 2.83
Cl (0.0000, 0.5000, 0.0000)  2 K 2.59
Cl (0.5000, 0.0000, 0.0000)  2 K 2.59

A plane-wave DFT calculation with PBE-GGA was carried out for an optimized crystal structure of KMgIrCl6.

Summary:
E ... -34.14 eV/f.u.
Uncorrected formation energy ... -1.278 eV/atom

a b c (Å): 6.3703 6.3703 14.1429
angles (deg): 90.00 90.00 120.00
Last column: nearest neighbours and their distance in Å.
Fractional coordinates of all 18 atoms:
K (0.0000, 0.0000, 0.0000)  6 Cl 3.18
K (0.0000, 0.0000, 0.5000)  6 Cl 3.18
Mg (0.3333, 0.6667, 0.2500)  6 Cl 2.52
Mg (0.6667, 0.3333, 0.7500)  6 Cl 2.52
Ir (0.3333, 0.6667, 0.7500)  6 Cl 2.37
Ir (0.6667, 0.3333, 0.2500)  6 Cl 2.37
Cl (0.0182, 0.3738, 0.6535)  1 Ir 2.37, 1 Mg 2.52
Cl (0.0182, 0.6444, 0.8465)  1 Ir 2.37, 1 Mg 2.52
Cl (0.3556, 0.3738, 0.8465)  1 Ir 2.37, 1 Mg 2.52
Cl (0.3556, 0.9818, 0.6535)  1 Ir 2.37, 1 Mg 2.52
Cl (0.3738, 0.0182, 0.1535)  1 Ir 2.37, 1 Mg 2.52
Cl (0.3738, 0.3556, 0.3465)  1 Ir 2.37, 1 Mg 2.52
Cl (0.6262, 0.6444, 0.6535)  1 Ir 2.37, 1 Mg 2.52
Cl (0.6262, 0.9818, 0.8465)  1 Ir 2.37, 1 Mg 2.52
Cl (0.6444, 0.0182, 0.3465)  1 Ir 2.37, 1 Mg 2.52
Cl (0.6444, 0.6262, 0.1535)  1 Ir 2.37, 1 Mg 2.52
Cl (0.9818, 0.3556, 0.1535)  1 Ir 2.37, 1 Mg 2.52
Cl (0.9818, 0.6262, 0.3465)  1 Ir 2.37, 1 Mg 2.52

A plane-wave DFT calculation with PBE-GGA was carried out for an optimized crystal structure of KMnIrCl2.

Summary:
E ... -16.87 eV/f.u.
Uncorrected formation energy ... 1.190 eV/atom

a b c (Å): 5.2151 5.2151 4.9299
angles (deg): 90.00 90.00 90.00
Last column: nearest neighbours and their distance in Å.
Fractional coordinates of all 5 atoms:
K (0.0000, 0.0000, 0.0000)  2 Ir 2.46, 4 Cl 2.61
Mn (0.5000, 0.5000, 0.5000)  8 Cl 3.59, 4 Ir 3.69
Ir (0.0000, 0.0000, 0.5000)  2 K 2.46
Cl (0.0000, 0.5000, 0.0000)  2 K 2.61
Cl (0.5000, 0.0000, 0.0000)  2 K 2.61

A plane-wave DFT calculation with PBE-GGA was carried out for an optimized crystal structure of K2MoIrCl.

Summary:
E ... -20.69 eV/f.u.
Uncorrected formation energy ... 0.608 eV/atom

a b c (Å): 6.5801 6.5801 4.6001
angles (deg): 90.00 90.00 90.00
Last column: nearest neighbours and their distance in Å.
Fractional coordinates of all 5 atoms:
K (0.0000, 0.5000, 0.0000)  2 Mo 3.29
K (0.5000, 0.0000, 0.0000)  2 Mo 3.29
Mo (0.0000, 0.0000, 0.0000)  2 Ir 2.30
Ir (0.0000, 0.0000, 0.5000)  2 Mo 2.30
Cl (0.5000, 0.5000, 0.5000)  8 K 4.01

A plane-wave DFT calculation with PBE-GGA was carried out for an optimized crystal structure of K2NaIrCl6.

Summary:
E ... -36.63 eV/f.u.
Uncorrected formation energy ... -1.317 eV/atom

a b c (Å): 7.2069 10.1978 7.2109
angles (deg): 90.00 90.00 90.00
Last column: nearest neighbours and their distance in Å.
Fractional coordinates of all 20 atoms:
K (0.2500, 0.0003, 0.2490)  12 Cl 3.59-3.63
K (0.2500, 0.4997, 0.2490)  12 Cl 3.59-3.63
K (0.7500, 0.9997, 0.7510)  12 Cl 3.59-3.63
K (0.7500, 0.5003, 0.7510)  12 Cl 3.59-3.63
Na (0.2500, 0.2500, 0.7485)  6 Cl 2.73
Na (0.7500, 0.7500, 0.2515)  6 Cl 2.73
Ir (0.2500, 0.7500, 0.7514)  6 Cl 2.37
Ir (0.7500, 0.2500, 0.2486)  6 Cl 2.37
Cl (0.0178, 0.7500, 0.5195)  1 Ir 2.37
Cl (0.0180, 0.7500, 0.9834)  1 Ir 2.37
Cl (0.2500, 0.5180, 0.7515)  1 Ir 2.37
Cl (0.2500, 0.9820, 0.7515)  1 Ir 2.37
Cl (0.4822, 0.7500, 0.5195)  1 Ir 2.37
Cl (0.4820, 0.7500, 0.9834)  1 Ir 2.37
Cl (0.5180, 0.2500, 0.0166)  1 Ir 2.37
Cl (0.5178, 0.2500, 0.4805)  1 Ir 2.37
Cl (0.7500, 0.0180, 0.2485)  1 Ir 2.37
Cl (0.7500, 0.4820, 0.2485)  1 Ir 2.37
Cl (0.9820, 0.2500, 0.0166)  1 Ir 2.37
Cl (0.9822, 0.2500, 0.4805)  1 Ir 2.37

A plane-wave DFT calculation with PBE-GGA was carried out for an optimized crystal structure of KNa2IrCl8.

Summary:
E ... -39.97 eV/f.u.
Uncorrected formation energy ... -1.050 eV/atom

a b c (Å): 5.8768 6.2346 9.0137
angles (deg): 90.03 90.18 93.98
Last column: nearest neighbours and their distance in Å.
Fractional coordinates of all 12 atoms:
K (0.0000, 0.0000, 0.0000)  8 Cl 3.25-3.60
Na (0.4989, 0.5001, 0.7333)  6 Cl 2.82-2.93
Na (0.5011, 0.4999, 0.2667)  6 Cl 2.82-2.93
Ir (0.0000, 0.0000, 0.5000)  6 Cl 2.34
Cl (0.2219, 0.3255, 0.4991)  1 Ir 2.34
Cl (0.2279, 0.8690, 0.3129)  1 Ir 2.34
Cl (0.2301, 0.8715, 0.6878)  1 Ir 2.34
Cl (0.2484, 0.4887, 0.0000)  2 Na 2.82, 2 Cl 2.93-2.95
Cl (0.7516, 0.5113, 0.0000)  2 Na 2.82, 2 Cl 2.93-2.95
Cl (0.7699, 0.1285, 0.3122)  1 Ir 2.34
Cl (0.7721, 0.1310, 0.6871)  1 Ir 2.34
Cl (0.7781, 0.6745, 0.5009)  1 Ir 2.34

A plane-wave DFT calculation with PBE-GGA was carried out for an optimized crystal structure of KNiIrCl6.

Summary:
E ... -34.44 eV/f.u.
Uncorrected formation energy ... -0.847 eV/atom

a b c (Å): 6.2381 6.2381 7.0724
angles (deg): 90.00 90.00 120.00
Last column: nearest neighbours and their distance in Å.
Fractional coordinates of all 9 atoms:
K (0.0000, 0.0000, 0.0000)  6 Cl 3.17
Ni (0.6667, 0.3333, 0.5000)  6 Cl 2.42
Ir (0.3333, 0.6667, 0.5000)  6 Cl 2.36
Cl (0.0064, 0.3669, 0.6868)  1 Ir 2.36, 1 Ni 2.42
Cl (0.0064, 0.6395, 0.3132)  1 Ir 2.36, 1 Ni 2.42
Cl (0.3605, 0.3669, 0.3132)  1 Ir 2.36, 1 Ni 2.42
Cl (0.3605, 0.9936, 0.6868)  1 Ir 2.36, 1 Ni 2.42
Cl (0.6331, 0.6395, 0.6868)  1 Ir 2.36, 1 Ni 2.42
Cl (0.6331, 0.9936, 0.3132)  1 Ir 2.36, 1 Ni 2.42

A plane-wave DFT calculation with PBE-GGA was carried out for an optimized crystal structure of K5IrCl2O4.

Summary:
E ... -53.99 eV/f.u.
Uncorrected formation energy ... -1.343 eV/atom

a b c (Å): 8.4571 5.9951 5.9951
angles (deg): 110.20 90.00 90.00
Last column: nearest neighbours and their distance in Å.
Fractional coordinates of all 12 atoms:
K (0.0000, 0.0000, 0.0000)  2 O 2.80, 4 Cl 3.03-3.13
K (0.2958, 0.2193, 0.6024)  3 O 2.78-2.93, 1 Cl 3.07
K (0.2958, 0.6024, 0.2193)  3 O 2.78-2.93, 1 Cl 3.07
K (0.7042, 0.2193, 0.6024)  3 O 2.78-2.93, 1 Cl 3.07
K (0.7042, 0.6024, 0.2193)  3 O 2.78-2.93, 1 Cl 3.07
Ir (0.5000, 0.9249, 0.9249)  4 O 1.85-1.93
Cl (0.0000, 0.4646, 0.8739)  6 K 3.03-3.17
Cl (0.0000, 0.8739, 0.4646)  6 K 3.03-3.17
O (0.3238, 0.0848, 0.0848)  1 Ir 1.85
O (0.5000, 0.5853, 0.8513)  1 Ir 1.93
O (0.5000, 0.8513, 0.5853)  1 Ir 1.93
O (0.6762, 0.0848, 0.0848)  1 Ir 1.85

A plane-wave DFT calculation with PBE-GGA was carried out for an optimized crystal structure of KIrOsCl.

Summary:
E ... -22.43 eV/f.u.
Uncorrected formation energy ... 0.150 eV/atom
Energy above the lowest structure with this stoichiometry ... 0.111 eV/atom

a b c (Å): 8.9951 8.9951 8.9951
angles (deg): 160.82 160.82 27.25
Last column: nearest neighbours and their distance in Å.
Fractional coordinates of all 4 atoms:
K (0.0000, 0.0000, 0.0000)  4 K 3.00, 4 Cl 3.04
Ir (0.3431, 0.3431, 0.0000)  4 Os 2.59
Os (0.7582, 0.7582, 0.0000)  1 Cl 2.33, 4 Ir 2.59
Cl (0.6250, 0.6250, 0.0000)  1 Os 2.33

A plane-wave DFT calculation with PBE-GGA was carried out for an optimized crystal structure of KIrOsCl.

Summary:
E ... -22.88 eV/f.u.
Uncorrected formation energy ... 0.039 eV/atom
Energy above the lowest structure with this stoichiometry ... 0.000 eV/atom

a b c (Å): 8.2433 8.2433 8.2433
angles (deg): 159.82 153.39 33.62
Last column: nearest neighbours and their distance in Å.
Fractional coordinates of all 4 atoms:
K (0.0000, 0.0000, 0.0000)  2 K 2.89, 4 Cl 3.06
Ir (0.6700, 0.6700, 0.0000)  4 Os 2.56
Os (0.2283, 0.2283, 0.0000)  1 Cl 2.36, 4 Ir 2.56
Cl (0.3782, 0.3782, 0.0000)  1 Os 2.36

A plane-wave DFT calculation with PBE-GGA was carried out for an optimized crystal structure of KIrOsCl.

Summary:
E ... -21.25 eV/f.u.
Uncorrected formation energy ... 0.446 eV/atom
Energy above the lowest structure with this stoichiometry ... 0.407 eV/atom

a b c (Å): 4.8382 4.8382 6.3295
angles (deg): 103.85 103.85 49.44
Last column: nearest neighbours and their distance in Å.
Fractional coordinates of all 4 atoms:
K (0.0000, 0.0000, 0.0000)  3 Cl 3.28-3.30, 2 Os 3.58, 2 Ir 3.60
Ir (0.3931, 0.3931, 0.4091)  2 Os 2.33, 1 Cl 2.37
Os (0.7603, 0.7603, 0.4050)  1 Cl 2.31, 2 Ir 2.33
Cl (0.6358, 0.6358, 0.6842)  1 Os 2.31, 1 Ir 2.37

What spin magnetization values result from the calculations? In sequence: 1.00, 0.00, 3.93, 2.79, 0.00, 1.67, 1.92, 0.00, 0.00, 0.00, 0.00 μB per formula unit.